Arrangement a

Entry from Alexandria via LeMat-Bulk: crystalline CdBiTe3 at its relaxed geometry (GGA-PBE). Values from VASP.

Summary:
Magnetic moment, Bohr magnetons per cell: 0.000
DOS(E_F), states/eV/cell: 4.2
Space group: P2_1/m

```
&SYSTEM
  ibrav = 0, nat = 10, ntyp = 3
/
ATOMIC_SPECIES
Cd 112.41 Cd.upf
Te 127.60 Te.upf
Bi 208.98 Bi.upf
CELL_PARAMETERS angstrom
4.491 0.000 0.000
0.000 7.414 -2.346
0.000 -6.656 12.554
ATOMIC_POSITIONS crystal
Cd 0.250 0.355 0.758
Cd 0.750 0.645 0.242
Te 0.250 0.299 0.032
Te 0.250 0.970 0.334
Te 0.750 0.489 0.374
Te 0.250 0.511 0.626
Te 0.750 0.701 0.968
Te 0.750 0.030 0.666
Bi 0.750 0.888 0.825
Bi 0.250 0.112 0.175
```

Arrangement b

Entry from Alexandria via LeMat-Bulk: crystalline CdBiTe3 at its relaxed geometry (GGA-PBE). Values from VASP.

Summary:
Magnetic moment, Bohr magnetons per cell: 0.000
DOS(E_F), states/eV/cell: 5.4
Space group: Pm-3m

```
&SYSTEM
  ibrav = 0, nat = 5, ntyp = 3
/
ATOMIC_SPECIES
Bi 208.98 Bi.upf
Te 127.60 Te.upf
Cd 112.41 Cd.upf
CELL_PARAMETERS angstrom
-2.783 4.731 -0.818
-4.568 -2.900 -1.233
-1.478 0.055 5.349
ATOMIC_POSITIONS crystal
Bi 0.500 0.500 0.500
Te 0.500 0.000 0.000
Te 0.000 0.500 0.000
Te 0.000 0.000 0.500
Cd 0.000 0.000 0.000
```

Which of them is the most stable? Correct choice: arrangement a.

Arrangement a

Entry from Alexandria via LeMat-Bulk: crystalline Cd2Bi2Te at its relaxed geometry (GGA-PBE). Values from VASP.

Summary:
Magnetic moment, Bohr magnetons per cell: 0.000
DOS(E_F), states/eV/cell: 3.1
Space group: I4/mmm

```
&SYSTEM
  ibrav = 0, nat = 5, ntyp = 3
/
ATOMIC_SPECIES
Te 127.60 Te.upf
Cd 112.41 Cd.upf
Bi 208.98 Bi.upf
CELL_PARAMETERS angstrom
4.194 0.000 0.000
0.000 4.194 0.000
2.097 2.097 8.404
ATOMIC_POSITIONS crystal
Te 0.000 0.000 0.000
Cd 0.750 0.250 0.500
Cd 0.250 0.750 0.500
Bi 0.395 0.395 0.210
Bi 0.605 0.605 0.790
```

Arrangement b

Entry from Alexandria via LeMat-Bulk: crystalline Cd2Bi2Te at its relaxed geometry (GGA-PBE). Values from VASP.

Summary:
Magnetic moment, Bohr magnetons per cell: 0.000
DOS(E_F), states/eV/cell: 5.2
Space group: P4/mbm

```
&SYSTEM
  ibrav = 0, nat = 10, ntyp = 3
/
ATOMIC_SPECIES
Bi 208.98 Bi.upf
Te 127.60 Te.upf
Cd 112.41 Cd.upf
CELL_PARAMETERS angstrom
9.012 0.000 0.000
0.000 9.012 0.000
0.000 0.000 3.705
ATOMIC_POSITIONS crystal
Bi 0.195 0.305 0.000
Bi 0.695 0.195 0.000
Bi 0.305 0.805 0.000
Bi 0.805 0.695 0.000
Te 0.500 0.500 0.000
Te 0.000 0.000 0.000
Cd 0.887 0.387 0.500
Cd 0.387 0.113 0.500
Cd 0.613 0.887 0.500
Cd 0.113 0.613 0.500
```

Which of them is the most stable? Correct choice: arrangement b.

Arrangement a

Entry from Alexandria via LeMat-Bulk: crystalline ThCdBi at its relaxed geometry (GGA-PBE). Values from VASP.

Summary:
Magnetic moment, Bohr magnetons per cell: 0.000
DOS(E_F), states/eV/cell: 2.2
Space group: P3m1

```
&SYSTEM
  ibrav = 0, nat = 3, ntyp = 3
/
ATOMIC_SPECIES
Th 232.04 Th.upf
Bi 208.98 Bi.upf
Cd 112.41 Cd.upf
CELL_PARAMETERS angstrom
3.402 0.000 0.000
0.000 5.418 0.000
0.000 -2.709 4.693
ATOMIC_POSITIONS crystal
Th 0.333 0.333 0.667
Bi 0.832 0.667 0.333
Cd 0.835 0.000 0.000
```

Arrangement b

Entry from Alexandria via LeMat-Bulk: crystalline ThCdBi at its relaxed geometry (GGA-PBE). Values from VASP.

Summary:
Magnetic moment, Bohr magnetons per cell: 0.000
DOS(E_F), states/eV/cell: 6.5
Space group: P-62m

```
&SYSTEM
  ibrav = 0, nat = 9, ntyp = 3
/
ATOMIC_SPECIES
Cd 112.41 Cd.upf
Bi 208.98 Bi.upf
Th 232.04 Th.upf
CELL_PARAMETERS angstrom
-1.284 -3.861 1.026
8.129 -2.522 0.678
-4.070 3.163 6.807
ATOMIC_POSITIONS crystal
Cd 0.000 0.000 0.731
Cd 0.000 0.269 0.269
Cd 0.000 0.731 0.000
Bi 0.000 0.667 0.333
Bi 0.000 0.333 0.667
Bi 0.500 0.000 0.000
Th 0.500 0.617 0.617
Th 0.500 0.383 0.000
Th 0.500 0.000 0.383
```

Which of them is the most stable? Correct choice: arrangement b.

Arrangement a

Entry from Alexandria via LeMat-Bulk: crystalline TiCdBi3 at its relaxed geometry (GGA-PBE). Values from VASP.

Summary:
Magnetic moment, Bohr magnetons per cell: 0.000
DOS(E_F), states/eV/cell: 4.5
Space group: Pm-3m

```
&SYSTEM
  ibrav = 0, nat = 5, ntyp = 3
/
ATOMIC_SPECIES
Bi 208.98 Bi.upf
Ti 47.87 Ti.upf
Cd 112.41 Cd.upf
CELL_PARAMETERS angstrom
5.430 0.000 0.000
0.000 5.430 0.000
0.000 0.000 5.430
ATOMIC_POSITIONS crystal
Bi 0.000 0.500 0.000
Bi 0.500 0.000 0.000
Bi 0.000 0.000 0.500
Ti 0.000 0.000 0.000
Cd 0.500 0.500 0.500
```

Arrangement b

Entry from Alexandria via LeMat-Bulk: crystalline TiCdBi3 at its relaxed geometry (GGA-PBE). Values from VASP.

Summary:
Magnetic moment, Bohr magnetons per cell: 0.066
DOS(E_F), states/eV/cell: 10.0
Space group: Pm-3m

```
&SYSTEM
  ibrav = 0, nat = 5, ntyp = 3
/
ATOMIC_SPECIES
Ti 47.87 Ti.upf
Cd 112.41 Cd.upf
Bi 208.98 Bi.upf
CELL_PARAMETERS angstrom
5.578 0.000 0.000
0.000 5.578 0.000
0.000 0.000 5.578
ATOMIC_POSITIONS crystal
Ti 0.500 0.500 0.500
Cd 0.000 0.000 0.000
Bi 0.500 0.000 0.000
Bi 0.000 0.500 0.000
Bi 0.000 0.000 0.500
```

Which of them is the most stable? Correct choice: arrangement a.

Arrangement a

Entry from Alexandria via LeMat-Bulk: crystalline Tl3CdBi3 at its relaxed geometry (GGA-PBE). Values from VASP.

Summary:
Magnetic moment, Bohr magnetons per cell: 0.000
DOS(E_F), states/eV/cell: 4.9
Space group: Pm-3n

```
&SYSTEM
  ibrav = 0, nat = 14, ntyp = 3
/
ATOMIC_SPECIES
Bi 208.98 Bi.upf
Tl 204.38 Tl.upf
Cd 112.41 Cd.upf
CELL_PARAMETERS angstrom
8.588 0.000 0.000
0.000 8.588 0.000
0.000 0.000 8.588
ATOMIC_POSITIONS crystal
Bi 0.750 0.500 0.000
Bi 0.500 0.000 0.750
Bi 0.250 0.500 0.000
Bi 0.000 0.750 0.500
Bi 0.000 0.250 0.500
Bi 0.500 0.000 0.250
Tl 0.000 0.500 0.250
Tl 0.500 0.750 0.000
Tl 0.500 0.250 0.000
Tl 0.750 0.000 0.500
Tl 0.000 0.500 0.750
Tl 0.250 0.000 0.500
Cd 0.500 0.500 0.500
Cd 0.000 0.000 0.000
```

Arrangement b

Entry from Alexandria via LeMat-Bulk: crystalline Tl3CdBi3 at its relaxed geometry (GGA-PBE). Values from VASP.

Summary:
Magnetic moment, Bohr magnetons per cell: 0.000
DOS(E_F), states/eV/cell: 5.3
Space group: C2/m

```
&SYSTEM
  ibrav = 0, nat = 14, ntyp = 3
/
ATOMIC_SPECIES
Cd 112.41 Cd.upf
Bi 208.98 Bi.upf
Tl 204.38 Tl.upf
CELL_PARAMETERS angstrom
5.001 0.000 0.753
2.608 5.979 -0.336
0.207 -2.311 15.599
ATOMIC_POSITIONS crystal
Cd 0.212 0.951 0.624
Cd 0.788 0.049 0.376
Bi 0.959 0.272 0.811
Bi 0.139 0.239 0.483
Bi 0.874 0.150 0.103
Bi 0.126 0.850 0.897
Bi 0.861 0.761 0.517
Bi 0.041 0.728 0.189
Tl 0.284 0.182 0.250
Tl 0.374 0.284 0.968
Tl 0.521 0.620 0.338
Tl 0.479 0.380 0.662
Tl 0.716 0.818 0.750
Tl 0.626 0.716 0.032
```

Which of them is the most stable? Correct choice: arrangement b.

Arrangement a

Entry from Alexandria via LeMat-Bulk: crystalline Tl3Cd3Bi at its relaxed geometry (GGA-PBE). Values from VASP.

Summary:
Magnetic moment, Bohr magnetons per cell: 0.000
DOS(E_F), states/eV/cell: 5.5
Space group: Pm-3n

```
&SYSTEM
  ibrav = 0, nat = 14, ntyp = 3
/
ATOMIC_SPECIES
Cd 112.41 Cd.upf
Tl 204.38 Tl.upf
Bi 208.98 Bi.upf
CELL_PARAMETERS angstrom
-7.481 -2.549 -2.061
3.248 -5.075 -5.514
0.440 -5.870 5.662
ATOMIC_POSITIONS crystal
Cd 0.000 0.500 0.250
Cd 0.750 0.000 0.500
Cd 0.500 0.250 0.000
Cd 0.250 0.000 0.500
Cd 0.500 0.750 0.000
Cd 0.000 0.500 0.750
Tl 0.000 0.250 0.500
Tl 0.750 0.500 0.000
Tl 0.000 0.750 0.500
Tl 0.250 0.500 0.000
Tl 0.500 0.000 0.750
Tl 0.500 0.000 0.250
Bi 0.500 0.500 0.500
Bi 0.000 0.000 0.000
```

Arrangement b

Entry from Alexandria via LeMat-Bulk: crystalline Tl3Cd3Bi at its relaxed geometry (GGA-PBE). Values from VASP.

Summary:
Magnetic moment, Bohr magnetons per cell: 0.000
DOS(E_F), states/eV/cell: 5.7
Space group: R-3

```
&SYSTEM
  ibrav = 0, nat = 14, ntyp = 3
/
ATOMIC_SPECIES
Tl 204.38 Tl.upf
Cd 112.41 Cd.upf
Bi 208.98 Bi.upf
CELL_PARAMETERS angstrom
0.019 -7.567 0.313
6.448 -2.146 -3.344
4.715 -1.778 5.654
ATOMIC_POSITIONS crystal
Tl 0.322 0.052 0.883
Tl 0.117 0.678 0.948
Tl 0.052 0.883 0.322
Tl 0.948 0.117 0.678
Tl 0.883 0.322 0.052
Tl 0.678 0.948 0.117
Cd 0.392 0.816 0.523
Cd 0.523 0.392 0.816
Cd 0.608 0.184 0.477
Cd 0.477 0.608 0.184
Cd 0.816 0.523 0.392
Cd 0.184 0.477 0.608
Bi 0.730 0.730 0.730
Bi 0.270 0.270 0.270
```

Which of them is the most stable? Correct choice: arrangement b.

Arrangement a

Entry from Alexandria via LeMat-Bulk: crystalline TlCd2Bi at its relaxed geometry (GGA-PBE). Values from VASP.

Summary:
Magnetic moment, Bohr magnetons per cell: 0.000
DOS(E_F), states/eV/cell: 2.0
Space group: R3m

```
&SYSTEM
  ibrav = 0, nat = 4, ntyp = 3
/
ATOMIC_SPECIES
Bi 208.98 Bi.upf
Cd 112.41 Cd.upf
Tl 204.38 Tl.upf
CELL_PARAMETERS angstrom
4.610 0.000 0.000
2.305 3.993 0.000
2.305 1.331 6.670
ATOMIC_POSITIONS crystal
Bi 0.500 0.500 0.500
Cd 0.247 0.247 0.258
Cd 0.084 0.084 0.749
Tl 0.669 0.669 0.992
```

Arrangement b

Entry from Alexandria via LeMat-Bulk: crystalline TlCd2Bi at its relaxed geometry (GGA-PBE). Values from VASP.

Summary:
Magnetic moment, Bohr magnetons per cell: 0.000
DOS(E_F), states/eV/cell: 2.1
Space group: Cmcm

```
&SYSTEM
  ibrav = 0, nat = 8, ntyp = 3
/
ATOMIC_SPECIES
Cd 112.41 Cd.upf
Tl 204.38 Tl.upf
Bi 208.98 Bi.upf
CELL_PARAMETERS angstrom
-0.618 3.555 3.516
0.380 -6.081 2.605
7.528 0.723 0.592
ATOMIC_POSITIONS crystal
Cd 0.615 0.230 0.044
Cd 0.615 0.230 0.456
Cd 0.385 0.770 0.956
Cd 0.385 0.770 0.544
Tl 0.924 0.848 0.250
Tl 0.076 0.152 0.750
Bi 0.791 0.582 0.750
Bi 0.209 0.418 0.250
```

Arrangement c

Entry from Alexandria via LeMat-Bulk: crystalline TlCd2Bi at its relaxed geometry (GGA-PBE). Values from VASP.

Summary:
Magnetic moment, Bohr magnetons per cell: 0.000
DOS(E_F), states/eV/cell: 2.3
Space group: Fm-3m

```
&SYSTEM
  ibrav = 0, nat = 4, ntyp = 3
/
ATOMIC_SPECIES
Bi 208.98 Bi.upf
Tl 204.38 Tl.upf
Cd 112.41 Cd.upf
CELL_PARAMETERS angstrom
5.019 -0.228 2.044
1.478 3.412 3.948
0.797 -1.858 5.033
ATOMIC_POSITIONS crystal
Bi 0.500 0.500 0.500
Tl 0.000 0.000 0.000
Cd 0.750 0.750 0.750
Cd 0.250 0.250 0.250
```

Which of them is the most stable? Correct choice: arrangement b.

Arrangement a

Entry from Alexandria via LeMat-Bulk: crystalline Tl3CdBi at its relaxed geometry (GGA-PBE). Values from VASP.

Summary:
Magnetic moment, Bohr magnetons per cell: 0.000
DOS(E_F), states/eV/cell: 3.3
Space group: P2_1/m

```
&SYSTEM
  ibrav = 0, nat = 10, ntyp = 3
/
ATOMIC_SPECIES
Tl 204.38 Tl.upf
Bi 208.98 Bi.upf
Cd 112.41 Cd.upf
CELL_PARAMETERS angstrom
-4.544 1.974 -1.108
-1.741 0.018 7.174
3.211 7.818 0.761
ATOMIC_POSITIONS crystal
Tl 0.250 0.244 0.750
Tl 0.250 0.744 0.542
Tl 0.750 0.257 0.042
Tl 0.750 0.756 0.250
Tl 0.250 0.743 0.958
Tl 0.750 0.256 0.458
Bi 0.250 0.058 0.250
Bi 0.750 0.942 0.750
Cd 0.750 0.528 0.750
Cd 0.250 0.472 0.250
```

Arrangement b

Entry from Alexandria via LeMat-Bulk: crystalline Tl3CdBi at its relaxed geometry (GGA-PBE). Values from VASP.

Summary:
Magnetic moment, Bohr magnetons per cell: 0.000
DOS(E_F), states/eV/cell: 3.8
Space group: P2_1/m

```
&SYSTEM
  ibrav = 0, nat = 10, ntyp = 3
/
ATOMIC_SPECIES
Tl 204.38 Tl.upf
Bi 208.98 Bi.upf
Cd 112.41 Cd.upf
CELL_PARAMETERS angstrom
3.571 0.343 0.000
-0.846 8.779 0.000
0.000 0.000 10.284
ATOMIC_POSITIONS crystal
Tl 0.493 0.536 0.750
Tl 0.993 0.302 0.973
Tl 0.007 0.698 0.027
Tl 0.993 0.302 0.527
Tl 0.507 0.464 0.250
Tl 0.007 0.698 0.473
Bi 0.012 0.127 0.250
Bi 0.988 0.873 0.750
Cd 0.511 0.844 0.250
Cd 0.489 0.156 0.750
```

Which of them is the most stable? Correct choice: arrangement a.

Arrangement a

Entry from Alexandria via LeMat-Bulk: crystalline Tl4CdBi at its relaxed geometry (GGA-PBE). Values from VASP.

Summary:
Magnetic moment, Bohr magnetons per cell: 0.000
DOS(E_F), states/eV/cell: 5.5
Space group: I4/mcm

```
&SYSTEM
  ibrav = 0, nat = 12, ntyp = 3
/
ATOMIC_SPECIES
Tl 204.38 Tl.upf
Cd 112.41 Cd.upf
Bi 208.98 Bi.upf
CELL_PARAMETERS angstrom
-7.679 -0.633 1.673
-0.676 -5.800 -5.298
5.518 -1.075 6.340
ATOMIC_POSITIONS crystal
Tl 0.485 0.985 0.265
Tl 0.515 0.015 0.735
Tl 0.219 0.719 0.735
Tl 0.281 0.485 0.265
Tl 0.985 0.781 0.265
Tl 0.015 0.219 0.735
Tl 0.781 0.281 0.265
Tl 0.719 0.515 0.735
Cd 0.500 0.500 0.000
Cd 0.000 0.000 0.000
Bi 0.250 0.250 0.500
Bi 0.750 0.750 0.500
```

Arrangement b

Entry from Alexandria via LeMat-Bulk: crystalline Tl4CdBi at its relaxed geometry (GGA-PBE). Values from VASP.

Summary:
Magnetic moment, Bohr magnetons per cell: 0.000
DOS(E_F), states/eV/cell: 4.8
Space group: Cmc2_1

```
&SYSTEM
  ibrav = 0, nat = 12, ntyp = 3
/
ATOMIC_SPECIES
Tl 204.38 Tl.upf
Cd 112.41 Cd.upf
Bi 208.98 Bi.upf
CELL_PARAMETERS angstrom
-3.169 3.057 1.469
-5.415 -5.119 -1.027
3.025 -5.214 10.043
ATOMIC_POSITIONS crystal
Tl 0.315 0.171 0.629
Tl 0.685 0.671 0.371
Tl 0.291 0.734 0.581
Tl 0.018 0.683 0.036
Tl 0.427 0.902 0.855
Tl 0.709 0.234 0.419
Tl 0.982 0.183 0.964
Tl 0.573 0.402 0.145
Cd 0.166 0.973 0.333
Cd 0.834 0.473 0.667
Bi 0.424 0.470 0.847
Bi 0.576 0.970 0.153
```

Arrangement c

Entry from Alexandria via LeMat-Bulk: crystalline Tl4CdBi at its relaxed geometry (GGA-PBE). Values from VASP.

Summary:
Magnetic moment, Bohr magnetons per cell: 0.000
DOS(E_F), states/eV/cell: 3.9
Space group: F-43m

```
&SYSTEM
  ibrav = 0, nat = 6, ntyp = 3
/
ATOMIC_SPECIES
Tl 204.38 Tl.upf
Bi 208.98 Bi.upf
Cd 112.41 Cd.upf
CELL_PARAMETERS angstrom
-2.323 4.484 4.061
-5.884 2.529 -0.988
-4.875 -1.473 4.008
ATOMIC_POSITIONS crystal
Tl 0.625 0.126 0.625
Tl 0.625 0.625 0.126
Tl 0.625 0.625 0.625
Tl 0.126 0.625 0.625
Bi 0.250 0.250 0.250
Cd 0.000 0.000 0.000
```

Which of them is the most stable? Correct choice: arrangement a.

Arrangement a

Entry from Alexandria via LeMat-Bulk: crystalline TlCd3Bi3 at its relaxed geometry (GGA-PBE). Values from VASP.

Summary:
Magnetic moment, Bohr magnetons per cell: 0.000
DOS(E_F), states/eV/cell: 7.8
Space group: R-3

```
&SYSTEM
  ibrav = 0, nat = 14, ntyp = 3
/
ATOMIC_SPECIES
Bi 208.98 Bi.upf
Cd 112.41 Cd.upf
Tl 204.38 Tl.upf
CELL_PARAMETERS angstrom
-0.662 7.918 -0.829
-1.282 3.166 -7.221
-8.399 3.166 -1.539
ATOMIC_POSITIONS crystal
Bi 0.203 0.662 0.212
Bi 0.797 0.338 0.788
Bi 0.077 0.797 0.788
Bi 0.923 0.203 0.212
Bi 0.662 0.923 0.212
Bi 0.338 0.077 0.788
Cd 0.754 0.114 0.605
Cd 0.246 0.886 0.395
Cd 0.527 0.754 0.605
Cd 0.886 0.473 0.395
Cd 0.473 0.246 0.395
Cd 0.114 0.527 0.605
Tl 0.332 0.332 0.004
Tl 0.668 0.668 0.996
```

Arrangement b

Entry from Alexandria via LeMat-Bulk: crystalline TlCd3Bi3 at its relaxed geometry (GGA-PBE). Values from VASP.

Summary:
Magnetic moment, Bohr magnetons per cell: 0.000
DOS(E_F), states/eV/cell: 12.9
Space group: Pm-3n

```
&SYSTEM
  ibrav = 0, nat = 14, ntyp = 3
/
ATOMIC_SPECIES
Bi 208.98 Bi.upf
Cd 112.41 Cd.upf
Tl 204.38 Tl.upf
CELL_PARAMETERS angstrom
-6.386 1.467 -5.029
4.623 -2.152 -6.498
-2.464 -7.838 0.843
ATOMIC_POSITIONS crystal
Bi 0.000 0.500 0.750
Bi 0.250 0.000 0.500
Bi 0.500 0.750 0.000
Bi 0.000 0.500 0.250
Bi 0.500 0.250 0.000
Bi 0.750 0.000 0.500
Cd 0.000 0.250 0.500
Cd 0.500 0.000 0.250
Cd 0.250 0.500 0.000
Cd 0.750 0.500 0.000
Cd 0.500 0.000 0.750
Cd 0.000 0.750 0.500
Tl 0.500 0.500 0.500
Tl 0.000 0.000 0.000
```

Which of them is the most stable? Correct choice: arrangement a.